Model i:
This record from the Open Quantum Materials Database describes an optimized crystal structure of SmSiH2O4. The functional is PBE.

Summary:
- Magnetic moment: 3.4 Bohr magnetons per cell

Cell lengths 4.9276, 5.8094, 12.4076 Å; angles 90.00, 103.05, 90.00 degrees
Space group P2_1/c (No. 14)
Symmetry-distinct sites (fractional):
Sm (0.1024, 0.2389, 0.3413)
Si (0.2448, 0.2431, 0.0989)
H (0.2763, 0.7487, 0.4782)
H (0.4948, 0.0079, 0.7463)
O (0.0630, 0.7452, 0.9871)
O (0.2697, 0.0235, 0.1867)
O (0.2841, 0.0340, 0.6881)
O (0.4390, 0.2466, 0.0101)

Model ii:
This record from the Open Quantum Materials Database describes an optimized crystal structure of SmSiH2O4. The functional is PBE.

Summary:
- Magnetic moment: 0.0 Bohr magnetons per cell

Cell lengths 6.5333, 6.5333, 8.2927 Å; angles 90.00, 90.00, 90.00 degrees
Space group I4_1/amd (No. 141, origin choice 2)
Symmetry-distinct sites (fractional):
Sm (0.0000, 0.2500, 0.3750)
Si (0.0000, 0.2500, 0.8750)
H (0.0000, 0.2500, 0.1025)
O (0.0000, 0.0655, 0.7383)

Model iii:
This record from the Open Quantum Materials Database describes an optimized crystal structure of SmSiH2O4. The functional is PBE.

Summary:
- Magnetic moment: 7.5 Bohr magnetons per cell

Cell lengths 9.7436, 10.7058, 6.4262 Å; angles 90.00, 90.00, 90.00 degrees
Space group Fdd2 (No. 43)
Symmetry-distinct sites (fractional):
Sm (0.0000, 0.0000, 0.0000)
Si (0.0000, 0.0000, 0.4817)
H (0.0427, 0.2785, 0.8708)
O (0.0515, 0.1132, 0.3318)
O (0.1217, 0.2136, 0.8967)

Most favorable structure: model iii. The second most favorable one is 52 meV per atom above it.